## Tl2ZnOs (PBE-GGA)

Data for crystalline Tl2ZnOs at its relaxed geometry.

Cell and atoms, written as POSCAR:
```
Tl2ZnOs
1.0
3.623 0.000 0.000
0.000 4.274 0.000
-1.811 0.000 5.233
Tl Zn Os
2 1 1
direct
0.000 0.000 0.000 Tl
0.309 0.500 0.615 Tl
0.590 0.500 0.177 Zn
0.728 0.000 0.451 Os
```

Calculated values
polymorph energy (0 for the lowest one) = 0.063 eV per atom